Entry from Alexandria via LeMat-Bulk: a relaxed structure of Gd2DyCu (GGA-PBE).

Properties
- magnetic moment (μB/atom) = 3.7237
- polymorph energy (0 for the lowest one) (meV per atom) = 496
- E_form (eV/atom) = 0.42

Cell lengths 3.4561, 3.4561, 33.7750 Å; angles 90.00, 90.00, 120.00 degrees
Space group R-3m (No. 166, hexagonal axes)
Unique sites:
Gd (0.0000, 0.0000, 0.0823) x6
Dy (0.0000, 0.0000, 0.5000) x3
Cu (0.0000, 0.0000, 0.0000) x3